1.
AsOsSe3, optimized geometry, DFT PBE; uncorrected energy = -4.4953 eV per atom; Fermi-level density of states = 1.38 states/eV per atom
1.0
4.855 0.000 0.000
0.000 4.855 0.000
0.000 0.000 4.855
As Os Se
1 1 3
direct
0.000 0.000 0.000
0.500 0.500 0.500
0.000 0.500 0.500
0.500 0.000 0.500
0.500 0.500 0.000

2.
Ac3PrY12, optimized geometry, DFT PBE; formation energy = 0.05 eV/atom; uncorrected energy = -5.8697 eV per atom; Fermi-level density of states = 1.77 states/eV per atom
1.0
5.174 0.000 0.000
0.000 5.174 0.000
0.000 0.000 20.702
Ac Pr Y
3 1 12
direct
0.000 0.000 0.000
0.000 0.000 0.252
0.000 0.000 0.748
0.000 0.000 0.500
0.000 0.500 0.126
0.000 0.500 0.379
0.000 0.500 0.621
0.000 0.500 0.874
0.500 0.000 0.126
0.500 0.000 0.379
0.500 0.000 0.621
0.500 0.000 0.874
0.500 0.500 0.000
0.500 0.500 0.252
0.500 0.500 0.500
0.500 0.500 0.748

3.
MgMn2Cu, optimized geometry, DFT PBE; formation energy = 0.26 eV/atom; uncorrected energy = -5.7429 eV per atom; Fermi-level density of states = 0.89 states/eV per atom
1.0
-1.940 1.940 3.933
1.940 -1.940 3.933
1.940 1.940 -3.933
Mg Mn Cu
1 2 1
direct
0.000 0.000 0.000
0.250 0.750 0.500
0.750 0.250 0.500
0.500 0.500 0.000

4.
SbRh2W, optimized geometry, DFT PBE; uncorrected energy = -7.9769 eV per atom; Fermi-level density of states = 0.98 states/eV per atom
1.0
2.959 0.000 0.000
0.000 2.959 0.000
0.000 0.000 7.611
Sb Rh W
1 2 1
direct
0.000 0.000 0.000
0.500 0.500 0.270
0.500 0.500 0.730
0.000 0.000 0.500